Entry 1:
Computed, not measured: a crystal of Al2C relaxed with PBEsol at the SCAN level of DFT.

Unit cell a=3.113 b=3.113 c=9.343 alpha=90.00 beta=90.00 gamma=120.00
Element x y z (fractional)
C  0.000  0.000  0.000
C  0.000  0.000  0.500
Al  0.667  0.333  0.890
Al  0.333  0.667  0.390
Al  0.667  0.333  0.610
Al  0.333  0.667  0.110

## Properties
- size of the total moment (μB/atom) = 0.000
- DOS(E_F) (states/eV/atom) = 0.0563
- energy relative to the elements (eV/atom) = -0.089

=====

Entry 2:
Computed, not measured: a crystal of CsInSi2 relaxed with PBEsol at the SCAN level of DFT.

Unit cell a=5.196 b=5.196 c=10.048 alpha=104.98 beta=104.98 gamma=90.00
Element x y z (fractional)
Cs  0.000  0.000  0.000
Cs  0.250  0.750  0.500
Si  0.625  0.375  0.750
Si  0.125  0.375  0.750
Si  0.625  0.875  0.250
Si  0.625  0.375  0.250
In  0.500  0.500  0.000
In  0.750  0.250  0.500

## Properties
- formation energy from raw total energies (eV per atom) = 0.406
- size of the total moment (μB/atom) = 0.000
- DOS(E_F) (states/eV/atom) = 0.5441

=====

Entry 3:
Computed, not measured: a crystal of Al2SbMo relaxed with PBEsol at the SCAN level of DFT.

Unit cell a=2.979 b=2.979 c=9.674 alpha=81.14 beta=81.14 gamma=60.00
Element x y z (fractional)
Sb  0.000  0.000  0.000
Mo  0.500  0.500  0.500
Al  0.239  0.239  0.282
Al  0.761  0.761  0.718

## Properties
- formation energy from raw total energies (eV per atom) = 0.192
- size of the total moment (μB/atom) = 0.000
- DOS(E_F) (states/eV/atom) = 0.4905

=====

Entry 4:
Computed, not measured: a crystal of ZnCoTe2 relaxed with PBEsol at the SCAN level of DFT.

Unit cell a=3.791 b=3.778 c=6.821 alpha=105.96 beta=90.00 gamma=120.11
Element x y z (fractional)
Co  0.500  0.000  0.000
Te  0.766  0.531  0.793
Te  0.234  0.469  0.207
Zn  0.000  0.000  0.500

## Properties
- formation energy from raw total energies (eV per atom) = -0.021
- size of the total moment (μB/atom) = 0.000
- DOS(E_F) (states/eV/atom) = 0.4564

=====

Entry 5:
Computed, not measured: a crystal of CdTc2Se relaxed with PBEsol at the SCAN level of DFT.

Unit cell a=3.018 b=3.018 c=6.778 alpha=90.00 beta=90.00 gamma=90.00
Element x y z (fractional)
Cd  0.500  0.500  0.000
Se  0.500  0.500  0.500
Tc  0.000  0.000  0.709
Tc  0.000  0.000  0.291

## Properties
- ΔE to the lowest computed polymorph (eV/atom) = 0.0000
- formation energy from raw total energies (eV per atom) = 0.394
- size of the total moment (μB/atom) = 0.000
- DOS(E_F) (states/eV/atom) = 0.9116

=====

Entry 6:
Computed, not measured: a crystal of Zn2FeCu relaxed with PBEsol at the SCAN level of DFT.

Unit cell a=2.587 b=2.587 c=7.382 alpha=90.00 beta=90.00 gamma=90.02
Each line ends with the local moment (μB).
Element x y z (fractional)
Zn  0.000  0.000  0.012  -0.06
Zn  0.500  0.500  0.738  0.00
Fe  0.500  0.500  0.257  2.86
Cu  0.000  0.000  0.494  0.04

## Properties
- size of the total moment (μB/atom) = 0.687
- DOS(E_F) (states/eV/atom) = 0.3882
- energy relative to the elements (eV/atom) = -0.014

=====

Entry 7:
Computed, not measured: a crystal of ReHg2Sb relaxed with PBEsol at the SCAN level of DFT.

Unit cell a=2.986 b=2.986 c=10.756 alpha=90.00 beta=90.00 gamma=117.48
Each line ends with the local moment (μB).
Element x y z (fractional)
Hg  0.000  0.000  0.984  0.00
Hg  0.500  0.500  0.721  0.00
Re  0.000  0.000  0.499  0.52
Sb  0.500  0.500  0.296  -0.01

## Properties
- formation energy from raw total energies (eV per atom) = 0.640
- size of the total moment (μB/atom) = 0.147
- DOS(E_F) (states/eV/atom) = 0.5245

=====

Entry 8:
Computed, not measured: a crystal of CuPtF2 relaxed with PBEsol at the SCAN level of DFT.

Unit cell a=2.686 b=2.686 c=7.889 alpha=80.20 beta=80.20 gamma=60.00
Each line ends with the local moment (μB).
Element x y z (fractional)
Cu  0.000  0.000  0.000  -0.23
Pt  0.500  0.500  0.500  0.70
F  0.923  0.923  0.231  0.02
F  0.077  0.077  0.769  0.02

## Properties
- formation energy from raw total energies (eV per atom) = -0.601
- size of the total moment (μB/atom) = 0.137
- DOS(E_F) (states/eV/atom) = 0.3151

=====

Entry 9:
Computed, not measured: a crystal of CoNi2Cl relaxed with PBEsol at the SCAN level of DFT.

Unit cell a=4.051 b=4.051 c=4.051 alpha=60.00 beta=60.00 gamma=60.00
Each line ends with the local moment (μB).
Element x y z (fractional)
Ni  0.000  0.000  0.000  0.77
Ni  0.250  0.250  0.250  0.53
Co  0.750  0.750  0.750  1.81
Cl  0.500  0.500  0.500  0.06

## Properties
- ΔE to the lowest computed polymorph (eV/atom) = 0.5640
- formation energy from raw total energies (eV per atom) = 0.732
- size of the total moment (μB/atom) = 0.727
- DOS(E_F) (states/eV/atom) = 1.3279

=====

Entry 10:
Computed, not measured: a crystal of SmIn3 relaxed with PBEsol at the SCAN level of DFT.

Unit cell a=4.594 b=4.594 c=4.594 alpha=90.00 beta=90.00 gamma=90.00
Element x y z (fractional)
Sm  0.000  0.000  0.000
In  0.500  0.000  0.500
In  0.000  0.500  0.500
In  0.500  0.500  0.000

## Properties
- size of the total moment (μB/atom) = 0.000
- DOS(E_F) (states/eV/atom) = 0.4102
- energy relative to the elements (eV/atom) = -0.578

=====

Entry 11:
Computed, not measured: a crystal of Ta4Ru3 relaxed with PBEsol at the SCAN level of DFT.

Unit cell a=3.141 b=3.141 c=11.495 alpha=97.85 beta=97.85 gamma=90.00
Element x y z (fractional)
Ru  0.000  0.000  0.000
Ru  0.291  0.291  0.581
Ru  0.709  0.709  0.419
Ta  0.148  0.148  0.297
Ta  0.430  0.430  0.860
Ta  0.570  0.570  0.140
Ta  0.852  0.852  0.703

## Properties
- size of the total moment (μB/atom) = 0.000
- DOS(E_F) (states/eV/atom) = 0.6067
- energy relative to the elements (eV/atom) = -0.293

=====

Entry 12:
Computed, not measured: a crystal of Y2Ga3Ni relaxed with PBEsol at the SCAN level of DFT.

Unit cell a=4.232 b=4.232 c=7.345 alpha=90.00 beta=90.00 gamma=120.00
Element x y z (fractional)
Y  0.667  0.333  0.228
Y  0.667  0.333  0.765
Ga  0.333  0.667  0.988
Ga  0.333  0.667  0.537
Ga  0.000  0.000  0.454
Ni  0.000  0.000  0.028

## Properties
- size of the total moment (μB/atom) = 0.000
- DOS(E_F) (states/eV/atom) = 0.5042
- energy relative to the elements (eV/atom) = -0.747

=====

Entry 13:
Computed, not measured: a crystal of Na2ZrPt relaxed with PBEsol at the SCAN level of DFT.

Unit cell a=4.736 b=4.736 c=4.736 alpha=60.00 beta=60.00 gamma=60.00
Element x y z (fractional)
Na  0.250  0.250  0.250
Na  0.750  0.750  0.750
Zr  0.000  0.000  0.000
Pt  0.500  0.500  0.500

## Properties
- size of the total moment (μB/atom) = 0.000
- DOS(E_F) (states/eV/atom) = 0.6811
- energy relative to the elements (eV/atom) = 0.417

=====

Entry 14:
Computed, not measured: a crystal of AlTcMo2 relaxed with PBEsol at the SCAN level of DFT.

Unit cell a=3.106 b=4.239 c=5.140 alpha=114.35 beta=107.57 gamma=90.00
Element x y z (fractional)
Mo  0.758  0.758  0.516
Mo  0.242  0.242  0.484
Tc  0.500  0.000  0.000
Al  0.000  0.500  0.000

## Properties
- size of the total moment (μB/atom) = 0.000
- DOS(E_F) (states/eV/atom) = 0.6840
- energy relative to the elements (eV/atom) = -0.287

=====

Entry 15:
Computed, not measured: a crystal of AlInPb2N relaxed with PBEsol at the SCAN level of DFT.

Unit cell a=3.581 b=5.601 c=5.601 alpha=90.00 beta=90.00 gamma=90.00
Element x y z (fractional)
Pb  0.000  0.000  0.500
Pb  0.000  0.500  0.000
N  0.000  0.000  0.000
Al  0.500  0.000  0.000
In  0.500  0.500  0.500

## Properties
- formation energy from raw total energies (eV per atom) = 0.074
- size of the total moment (μB/atom) = 0.000
- DOS(E_F) (states/eV/atom) = 0.3523

=====

Entry 16:
Computed, not measured: a crystal of NaSi3Tc relaxed with PBEsol at the SCAN level of DFT.

Unit cell a=4.673 b=4.673 c=4.673 alpha=90.00 beta=90.00 gamma=90.00
Element x y z (fractional)
Na  0.500  0.500  0.500
Si  0.000  0.500  0.000
Si  0.000  0.000  0.500
Si  0.500  0.000  0.000
Tc  0.000  0.000  0.000

## Properties
- formation energy from raw total energies (eV per atom) = 0.348
- size of the total moment (μB/atom) = 0.000
- DOS(E_F) (states/eV/atom) = 0.8460

=====

Entry 17:
Computed, not measured: a crystal of Ru7Pt relaxed with PBEsol at the SCAN level of DFT.

Unit cell a=5.346 b=5.346 c=5.346 alpha=60.00 beta=60.00 gamma=60.00
Element x y z (fractional)
Pt  0.000  0.000  0.000
Ru  0.000  0.500  0.500
Ru  0.000  0.500  0.000
Ru  0.000  0.000  0.500
Ru  0.500  0.500  0.000
Ru  0.500  0.000  0.500
Ru  0.500  0.000  0.000
Ru  0.500  0.500  0.500

## Properties
- size of the total moment (μB/atom) = 0.000
- DOS(E_F) (states/eV/atom) = 0.8817
- energy relative to the elements (eV/atom) = 0.081

=====

Entry 18:
Computed, not measured: a crystal of Na2YPWO8 relaxed with PBEsol at the SCAN level of DFT.

Unit cell a=6.876 b=11.370 c=11.370 alpha=64.14 beta=72.40 gamma=72.40
Element x y z (fractional)
Na  0.148  0.294  0.397
Na  0.161  0.897  0.794
Na  0.352  0.603  0.706
Na  0.339  0.206  0.103
Na  0.852  0.706  0.603
Na  0.839  0.103  0.206
Na  0.648  0.397  0.294
Na  0.661  0.794  0.897
Y  0.250  0.321  0.679
Y  0.750  0.179  0.821
Y  0.750  0.679  0.321
Y  0.250  0.821  0.179
P  0.750  0.932  0.068
P  0.250  0.568  0.432
P  0.250  0.068  0.932
P  0.750  0.432  0.568
W  0.322  0.928  0.428
W  0.178  0.572  0.072
W  0.678  0.072  0.572
W  0.822  0.428  0.928
O  0.828  0.940  0.923
O  0.309  0.423  0.440
O  0.672  0.077  0.060
O  0.191  0.560  0.577
O  0.172  0.060  0.077
O  0.691  0.577  0.560
O  0.328  0.923  0.940
O  0.809  0.440  0.423
O  0.581  0.845  0.141
O  0.433  0.641  0.345
O  0.919  0.859  0.155
O  0.067  0.655  0.359
O  0.419  0.155  0.859
O  0.567  0.359  0.655
O  0.081  0.141  0.845
O  0.933  0.345  0.641
O  0.591  0.848  0.394
O  0.167  0.894  0.348
O  0.909  0.606  0.152
O  0.333  0.652  0.106
O  0.409  0.152  0.606
O  0.833  0.106  0.652
O  0.091  0.394  0.848
O  0.667  0.348  0.894
O  0.229  0.861  0.603
O  0.308  0.103  0.361
O  0.271  0.397  0.139
O  0.192  0.639  0.897
O  0.771  0.139  0.397
O  0.692  0.897  0.639
O  0.729  0.603  0.861
O  0.808  0.361  0.103

## Properties
- formation energy from raw total energies (eV per atom) = -2.776
- size of the total moment (μB/atom) = 0.000
- DOS(E_F) (states/eV/atom) = 0.0000

=====

Entry 19:
Computed, not measured: a crystal of CsReOs3 relaxed with PBEsol at the SCAN level of DFT.

Unit cell a=4.752 b=4.752 c=4.752 alpha=90.00 beta=90.00 gamma=90.00
Each line ends with the local moment (μB).
Element x y z (fractional)
Cs  0.000  0.000  0.000  0.00
Re  0.500  0.500  0.500  -2.49
Os  0.000  0.500  0.000  -0.68
Os  0.000  0.000  0.500  -0.68
Os  0.500  0.000  0.000  -0.68

## Properties
- size of the total moment (μB/atom) = 1.043
- DOS(E_F) (states/eV/atom) = 1.2590
- energy relative to the elements (eV/atom) = 4.740

=====

Entry 20:
Computed, not measured: a crystal of CdFe2GeBi relaxed with PBEsol at the SCAN level of DFT.

Unit cell a=4.791 b=4.791 c=5.447 alpha=90.00 beta=90.00 gamma=90.00
Each line ends with the local moment (μB).
Element x y z (fractional)
Fe  0.000  0.500  0.000  3.16
Fe  0.500  0.000  0.000  3.16
Ge  0.500  0.500  0.500  -0.11
Bi  0.000  0.000  0.500  0.00
Cd  0.000  0.000  0.000  -0.04

## Properties
- size of the total moment (μB/atom) = 1.255
- DOS(E_F) (states/eV/atom) = 0.7449
- energy relative to the elements (eV/atom) = 1.372

=====

Entry 21:
Computed, not measured: a crystal of LaIn2Sb relaxed with PBEsol at the SCAN level of DFT.

Unit cell a=4.637 b=4.637 c=4.891 alpha=90.00 beta=90.00 gamma=90.00
Element x y z (fractional)
Sb  0.000  0.000  0.500
La  0.500  0.500  0.500
In  0.000  0.500  0.000
In  0.500  0.000  0.000

## Properties
- ΔE to the lowest computed polymorph (eV/atom) = 0.0000
- formation energy from raw total energies (eV per atom) = -0.666
- size of the total moment (μB/atom) = 0.000
- DOS(E_F) (states/eV/atom) = 0.5435

=====

Entry 22:
Computed, not measured: a crystal of ZrTl2Br relaxed with PBEsol at the SCAN level of DFT.

Unit cell a=4.247 b=4.247 c=6.017 alpha=110.66 beta=110.66 gamma=90.00
Element x y z (fractional)
Tl  0.750  0.250  0.500
Tl  0.250  0.750  0.500
Br  0.000  0.000  0.000
Zr  0.500  0.500  0.000

## Properties
- ΔE to the lowest computed polymorph (eV/atom) = 0.4773
- formation energy from raw total energies (eV per atom) = 0.052
- size of the total moment (μB/atom) = 0.000
- DOS(E_F) (states/eV/atom) = 0.8375

=====

Entry 23:
Computed, not measured: a crystal of YZn2Ni relaxed with PBEsol at the SCAN level of DFT.

Unit cell a=3.036 b=3.218 c=6.581 alpha=90.00 beta=90.00 gamma=90.00
Element x y z (fractional)
Ni  0.500  0.500  0.000
Y  0.500  0.500  0.500
Zn  0.000  0.000  0.811
Zn  0.000  0.000  0.189

## Properties
- size of the total moment (μB/atom) = 0.002
- DOS(E_F) (states/eV/atom) = 0.6647
- energy relative to the elements (eV/atom) = -0.206

=====

Entry 24:
Computed, not measured: a crystal of BaAgBi3 relaxed with PBEsol at the SCAN level of DFT.

Unit cell a=5.545 b=5.545 c=5.545 alpha=90.00 beta=90.00 gamma=90.00
Element x y z (fractional)
Bi  0.000  0.500  0.000
Bi  0.000  0.000  0.500
Bi  0.500  0.000  0.000
Ag  0.000  0.000  0.000
Ba  0.500  0.500  0.500

## Properties
- size of the total moment (μB/atom) = 0.000
- DOS(E_F) (states/eV/atom) = 0.5911
- energy relative to the elements (eV/atom) = -0.156

=====

Entry 25:
Computed, not measured: a crystal of TaBe2Tc relaxed with PBEsol at the SCAN level of DFT.

Unit cell a=3.163 b=3.269 c=4.727 alpha=90.00 beta=109.55 gamma=90.00
Element x y z (fractional)
Be  0.819  0.000  0.638
Be  0.688  0.500  0.377
Tc  0.402  0.500  0.804
Ta  0.091  0.000  0.182

## Properties
- ΔE to the lowest computed polymorph (eV/atom) = 0.0000
- size of the total moment (μB/atom) = 0.000
- DOS(E_F) (states/eV/atom) = 0.0413
- energy relative to the elements (eV/atom) = -0.420

=====

Entry 26:
Computed, not measured: a crystal of La2InTe relaxed with PBEsol at the SCAN level of DFT.

Unit cell a=4.345 b=4.345 c=8.487 alpha=75.17 beta=75.17 gamma=60.00
Element x y z (fractional)
Te  0.000  0.000  0.000
La  0.748  0.748  0.757
La  0.252  0.252  0.243
In  0.500  0.500  0.500

## Properties
- ΔE to the lowest computed polymorph (eV/atom) = 0.0079
- formation energy from raw total energies (eV per atom) = -1.141
- size of the total moment (μB/atom) = 0.000
- DOS(E_F) (states/eV/atom) = 0.5422